VASP calculation (PBE-GGA) on InOs2O after structural relaxation.

Unit cell a=4.6012 b=4.6012 c=7.5198 alpha=72.19 beta=72.19 gamma=90.00
With the nearest neighbours (Å) after each atom.
Element x y z (fractional)
Os 0.3750 0.5345 0.7500  2 O 2.09
O 0.5000 0.5000 0.0000  4 Os 2.09
O 0.2500 0.7500 0.5000  4 Os 2.09
In 0.0000 0.0000 0.0000  4 Os 2.78
Os 0.8750 0.7155 0.7500  2 O 2.09
Os 0.4655 0.1250 0.2500  2 O 2.09
Os 0.2845 0.6250 0.2500  2 O 2.09
In 0.7500 0.2500 0.5000  4 Os 2.78

Formation energy (no corrections)   2.3 eV per formula unit
Crystal system   tetragonal
Fermi-level density of states   2.92 states/eV/f.u.
Calculated volume   17.94 Å³/atom
Total energy   -6.96 eV per atom
Relative energy among the computed polymorphs   0 meV per atom